VASP calculation (PBE-GGA) on crystalline Re4SbBr at its relaxed geometry.

```
6
Lattice="0.000 3.793 3.793 3.793 0.000 3.793 3.793 3.793 0.000" Properties=species:S:1:pos:R:3 pbc="T T T"
Re 0.949 0.949 0.949
Re 2.844 2.844 0.949
Re 2.844 0.949 2.844
Re 0.949 2.844 2.844
Sb 5.690 5.690 5.690
Br 3.793 3.793 3.793
```

Properties
The size of the total moment comes out at 0.00 μB/f.u. Its energy is -8.02 eV/atom. The density of states at the Fermi level comes out at 1.2486 states/eV/atom. The formation energy from raw total energies comes out at 1249 meV/atom. The symmetry is F-43m.